[1]
Computed, not measured: Pm5Sm2Tm12 after structural relaxation at the PBE level of DFT.

Calculated values
- Magnetic moment: 0.00 Bohr magnetons per cell
- Formation energy from the elements: 0.224 eV per atom
- VASP energy: -4.347 eV/atom
- ρ: 8.17 Mg/m³

Unit cell a=8.957 b=9.919 c=8.655 alpha=67.56 beta=90.00 gamma=116.84
Fractional positions:
Pm: 0.235 0.470 0.712
Pm: 0.282 0.564 0.234
Pm: 0.000 0.000 0.500
Pm: 0.718 0.436 0.766
Pm: 0.765 0.530 0.288
Sm: 0.672 0.000 0.000
Sm: 0.328 0.000 0.000
Tm: 0.957 0.914 0.182
Tm: 0.041 0.710 0.903
Tm: 0.669 0.710 0.903
Tm: 0.154 0.747 0.453
Tm: 0.593 0.747 0.453
Tm: 0.439 0.878 0.711
Tm: 0.561 0.122 0.289
Tm: 0.846 0.253 0.547
Tm: 0.407 0.253 0.547
Tm: 0.959 0.290 0.097
Tm: 0.331 0.290 0.097
Tm: 0.043 0.086 0.818

***

[2]
Computed, not measured: PmSm3Tm12 after structural relaxation at the PBE level of DFT.

Calculated values
- Magnetic moment: 0.00 Bohr magnetons per cell
- Formation energy from the elements: 0.026 eV per atom
- VASP energy: -4.509 eV/atom
- ρ: 8.80 Mg/m³

Unit cell a=4.981 b=4.981 c=19.949 alpha=90.00 beta=90.00 gamma=90.00
Fractional positions:
Pm: 0.000 0.000 0.000
Sm: 0.000 0.000 0.250
Sm: 0.000 0.000 0.500
Sm: 0.000 0.000 0.750
Tm: 0.500 0.500 0.000
Tm: 0.500 0.500 0.250
Tm: 0.500 0.500 0.500
Tm: 0.500 0.500 0.750
Tm: 0.500 0.000 0.125
Tm: 0.500 0.000 0.375
Tm: 0.500 0.000 0.625
Tm: 0.500 0.000 0.875
Tm: 0.000 0.500 0.125
Tm: 0.000 0.500 0.375
Tm: 0.000 0.500 0.625
Tm: 0.000 0.500 0.875

***

[3]
Computed, not measured: Pm5Sm4Tm2 after structural relaxation at the PBE level of DFT.

Calculated values
- Magnetic moment: 0.00 Bohr magnetons per cell
- Formation energy from the elements: 0.200 eV per atom
- VASP energy: -4.488 eV/atom
- ρ: 7.29 Mg/m³

Unit cell a=3.546 b=11.553 c=11.050 alpha=121.52 beta=99.23 gamma=90.00
Fractional positions:
Pm: 0.179 0.471 0.359
Pm: 0.821 0.529 0.641
Pm: 0.179 0.888 0.359
Pm: 0.500 0.000 0.000
Pm: 0.821 0.112 0.641
Sm: 0.590 0.590 0.179
Sm: 0.000 0.264 0.000
Sm: 0.410 0.410 0.821
Sm: 0.000 0.736 0.000
Tm: 0.796 0.796 0.591
Tm: 0.204 0.204 0.409

***

[4]
Computed, not measured: Pm2Sm2Tm3 after structural relaxation at the PBE level of DFT.

Calculated values
- Magnetic moment: 0.00 Bohr magnetons per cell
- Formation energy from the elements: 0.123 eV per atom
- VASP energy: -4.499 eV/atom
- ρ: 8.04 Mg/m³

Unit cell a=5.593 b=5.593 c=8.599 alpha=97.76 beta=103.43 gamma=115.80
Fractional positions:
Pm: 0.139 0.572 0.710
Pm: 0.861 0.428 0.290
Sm: 0.425 0.714 0.139
Sm: 0.575 0.286 0.861
Tm: 0.000 0.000 0.000
Tm: 0.711 0.858 0.569
Tm: 0.289 0.142 0.431

***

[5]
Computed, not measured: Pm12Sm6Tm after structural relaxation at the PBE level of DFT.

Calculated values
- Magnetic moment: 0.00 Bohr magnetons per cell
- Formation energy from the elements: 0.123 eV per atom
- VASP energy: -4.603 eV/atom
- ρ: 7.00 Mg/m³

Unit cell a=8.823 b=8.823 c=8.823 alpha=97.53 beta=97.53 gamma=97.53
Fractional positions:
Pm: 0.584 0.170 0.583
Pm: 0.170 0.583 0.584
Pm: 0.583 0.584 0.170
Pm: 0.416 0.830 0.417
Pm: 0.830 0.417 0.416
Pm: 0.417 0.416 0.830
Pm: 0.263 0.000 0.737
Pm: 0.263 0.737 0.000
Pm: 0.000 0.263 0.737
Pm: 0.737 0.000 0.263
Pm: 0.737 0.263 0.000
Pm: 0.000 0.737 0.263
Sm: 0.137 0.137 0.406
Sm: 0.863 0.594 0.863
Sm: 0.594 0.863 0.863
Sm: 0.863 0.863 0.594
Sm: 0.137 0.406 0.137
Sm: 0.406 0.137 0.137
Tm: 0.000 0.000 0.000

***

[6]
Computed, not measured: Pm3SmTm3 after structural relaxation at the PBE level of DFT.

Calculated values
- Magnetic moment: 0.00 Bohr magnetons per cell
- Formation energy from the elements: 0.018 eV per atom
- VASP energy: -4.608 eV/atom
- ρ: 7.92 Mg/m³

Unit cell a=5.725 b=9.612 c=9.612 alpha=120.00 beta=90.00 gamma=90.00
Fractional positions:
Pm: 0.750 0.758 0.808
Pm: 0.750 0.050 0.242
Pm: 0.750 0.192 0.950
Pm: 0.250 0.242 0.192
Pm: 0.250 0.950 0.758
Pm: 0.250 0.808 0.050
Sm: 0.750 0.333 0.667
Sm: 0.250 0.667 0.333
Tm: 0.250 0.521 0.617
Tm: 0.250 0.095 0.479
Tm: 0.250 0.383 0.905
Tm: 0.750 0.479 0.383
Tm: 0.750 0.905 0.521
Tm: 0.750 0.617 0.095